Entry 1:
DFT (PBE) results for Rb2Ge7Au12 after structural relaxation.

E_tot, Ry/atom: -0.263
N(E_F), states/eV/f.u.: 7.54
Total moment, μB/f.u.: 0.0
Calculated formation energy, eV/atom: -0.081

```
data_Rb2Ge7Au12
_symmetry_space_group_name_H-M 'P -3'
_symmetry_Int_Tables_number 147
_cell_length_a 10.3135
_cell_length_b 10.3135
_cell_length_c 4.8716
_cell_angle_alpha 90.00
_cell_angle_beta 90.00
_cell_angle_gamma 120.00
loop_
_symmetry_equiv_pos_as_xyz
'x,y,z'
'-x,-y,-z'
'-y,x-y,z'
'y,-x+y,-z'
'-x+y,-x,z'
'x-y,x,-z'
loop_
_atom_site_label
_atom_site_fract_x
_atom_site_fract_y
_atom_site_fract_z
_atom_site_occupancy
Rb1 0.3333 0.6667 0.2665 1
Ge1 0.0000 0.0000 0.0000 1
Ge2 0.1028 0.3847 0.8143 1
Au1 0.0557 0.6092 0.7316 1
Au2 0.1240 0.8704 0.3169 1
```



Entry 2:
DFT (PBE) results for CaEuRh after structural relaxation.

E_tot, Ry/atom: -0.496
N(E_F), states/eV/f.u.: 12.30
Total moment, μB/f.u.: 7.0
Calculated formation energy, eV/atom: -0.210

```
data_CaEuRh
_symmetry_space_group_name_H-M 'P 3 m 1'
_symmetry_Int_Tables_number 156
_cell_length_a 4.1443
_cell_length_b 4.1443
_cell_length_c 6.3921
_cell_angle_alpha 90.00
_cell_angle_beta 90.00
_cell_angle_gamma 120.00
loop_
_symmetry_equiv_pos_as_xyz
'x,y,z'
'-y,x-y,z'
'-x+y,-x,z'
'-y,-x,z'
'-x+y,y,z'
'x,x-y,z'
loop_
_atom_site_label
_atom_site_fract_x
_atom_site_fract_y
_atom_site_fract_z
_atom_site_occupancy
Ca1 0.0000 0.0000 0.0000 1
Eu1 0.3333 0.6667 0.5276 1
Rh1 0.6667 0.3333 0.7621 1
```



Entry 3:
DFT (PBE) results for Si2AgRu2 after structural relaxation.

E_tot, Ry/atom: -0.496
N(E_F), states/eV/f.u.: 1.88
Total moment, μB/f.u.: 0.0
Formation energy from raw total energies, meV/atom: -297.6

```
data_Si2AgRu2
_symmetry_space_group_name_H-M 'P 4/m b m'
_symmetry_Int_Tables_number 127
_symmetry_space_group_name_Hall '-P 4 2ab'
_cell_length_a 7.067
_cell_length_b 7.067
_cell_length_c 2.870
_cell_angle_alpha 90.00
_cell_angle_beta 90.00
_cell_angle_gamma 90.00
loop_
_atom_site_label
_atom_site_fract_x
_atom_site_fract_y
_atom_site_fract_z
_atom_site_occupancy
Si1 0.149 0.351 0.000 1
Ag1 0.000 0.000 0.500 1
Ru1 0.144 0.644 0.500 1
```



Entry 4:
DFT (PBE) results for BaMg2Al6 after structural relaxation.

E_tot, Ry/atom: -0.220
N(E_F), states/eV/f.u.: 5.24
Total moment, μB/f.u.: 0.0
Calculated formation energy, eV/atom: 0.065

```
data_BaMg2Al6
_symmetry_space_group_name_H-M 'P 6/m m m'
_symmetry_Int_Tables_number 191
_symmetry_space_group_name_Hall '-P 6 2'
_cell_length_a 8.2620
_cell_length_b 8.2620
_cell_length_c 3.3737
_cell_angle_alpha 90.00
_cell_angle_beta 90.00
_cell_angle_gamma 120.00
loop_
_atom_site_label
_atom_site_fract_x
_atom_site_fract_y
_atom_site_fract_z
_atom_site_occupancy
Ba1 0.0000 0.0000 0.0000 1
Mg1 0.3333 0.6667 0.0000 1
Al1 0.0000 0.3448 0.5000 1
```



Entry 5:
DFT (PBE) results for Cr2CoAgN after structural relaxation.

E_tot, Ry/atom: -0.371
N(E_F), states/eV/f.u.: 7.86
Total moment, μB/f.u.: 5.4
Formation energy from raw total energies, meV/atom: 2452.6

```
data_Cr2CoAgN
_symmetry_space_group_name_H-M 'P 4/m m m'
_symmetry_Int_Tables_number 123
_symmetry_space_group_name_Hall '-P 4 2'
_cell_length_a 5.031
_cell_length_b 5.031
_cell_length_c 4.652
_cell_angle_alpha 90.00
_cell_angle_beta 90.00
_cell_angle_gamma 90.00
loop_
_atom_site_label
_atom_site_fract_x
_atom_site_fract_y
_atom_site_fract_z
_atom_site_occupancy
Cr1 0.000 0.500 0.000 1
Co1 0.000 0.000 0.500 1
Ag1 0.000 0.000 0.000 1
N1 0.500 0.500 0.500 1
```



Entry 6:
DFT (PBE) results for AcNpRu4 after structural relaxation.

E_tot, Ry/atom: -0.658
N(E_F), states/eV/f.u.: 11.52
Total moment, μB/f.u.: 2.5
Calculated formation energy, eV/atom: 0.069

```
data_AcNpRu4
_symmetry_space_group_name_H-M 'F -4 3 m'
_symmetry_Int_Tables_number 216
_symmetry_space_group_name_Hall 'F -4 2 3'
_cell_length_a 7.663
_cell_length_b 7.663
_cell_length_c 7.663
_cell_angle_alpha 90.00
_cell_angle_beta 90.00
_cell_angle_gamma 90.00
loop_
_atom_site_label
_atom_site_fract_x
_atom_site_fract_y
_atom_site_fract_z
_atom_site_occupancy
Ac1 0.000 0.000 0.000 1
Np1 0.250 0.250 0.750 1
Ru1 0.124 0.124 0.376 1
```



Entry 7:
DFT (PBE) results for PmY5Tm4 after structural relaxation.

E_tot, Ry/atom: -0.381
N(E_F), states/eV/f.u.: 14.58
Total moment, μB/f.u.: 0.0
Calculated formation energy, eV/atom: 0.310

```
data_PmY5Tm4
_symmetry_space_group_name_H-M 'I 4'
_symmetry_Int_Tables_number 79
_cell_length_a 10.161
_cell_length_b 10.161
_cell_length_c 6.314
_cell_angle_alpha 90.00
_cell_angle_beta 90.00
_cell_angle_gamma 90.00
loop_
_symmetry_equiv_pos_as_xyz
'x,y,z'
'-y,x,z'
'-x,-y,z'
'y,-x,z'
'x+1/2,y+1/2,z+1/2'
'-y+1/2,x+1/2,z+1/2'
'-x+1/2,-y+1/2,z+1/2'
'y+1/2,-x+1/2,z+1/2'
loop_
_atom_site_label
_atom_site_fract_x
_atom_site_fract_y
_atom_site_fract_z
_atom_site_occupancy
Pm1 0.000 0.000 0.000 1
Y1 0.000 0.000 0.453 1
Y2 0.145 0.764 0.728 1
Tm1 0.051 0.649 0.230 1
```



Entry 8:
DFT (PBE) results for MnNiPdPb after structural relaxation.

E_tot, Ry/atom: -0.436
N(E_F), states/eV/f.u.: 2.21
Total moment, μB/f.u.: 4.3
Calculated formation energy, eV/atom: 0.030

```
data_MnNiPdPb
_symmetry_space_group_name_H-M 'F -4 3 m'
_symmetry_Int_Tables_number 216
_symmetry_space_group_name_Hall 'F -4 2 3'
_cell_length_a 6.393
_cell_length_b 6.393
_cell_length_c 6.393
_cell_angle_alpha 90.00
_cell_angle_beta 90.00
_cell_angle_gamma 90.00
loop_
_atom_site_label
_atom_site_fract_x
_atom_site_fract_y
_atom_site_fract_z
_atom_site_occupancy
Mn1 0.000 0.000 0.000 1
Ni1 0.250 0.250 0.750 1
Pd1 0.250 0.250 0.250 1
Pb1 0.000 0.000 0.500 1
```